Density functional theory data (GGA-PBE) for a relaxed CsNaSn crystal.

Cell: 4.188 4.188 7.702 Å, 105.78 105.78 90.00°
Positions (direct):
Na 0.905 0.905 0.810
Sn 0.316 0.316 0.632
Cs 0.629 0.629 0.258

Summary:
Electronic total energy, eV per atom: -2.08
Distance to the lowest polymorph of the same formula, meV per atom: 159.9
Energy of formation from the pure elements, kJ/mol of formula units: -8